# 1
Compound: La2Ge2O7
Source: the Alexandria database
Functional: PBE-GGA
Structure: relaxed

Properties
density = 5.519 Mg/m³
ΔE_f (raw) = -2.59 eV per atom
space group = P1
spin magnetization = 0.00 μB/atom

a = 6.9825 Å, b = 7.1478 Å, c = 7.1752 Å
α = 64.16°, β = 87.42°, γ = 88.41°
Atoms (fractional coordinates):
O (0.5354, 0.2043, 0.5207)
O (0.2233, 0.3654, 0.1294)
O (0.2829, 0.8054, 0.6580)
O (0.9193, 0.6517, 0.6274)
O (0.9049, 0.1176, 0.4275)
O (0.1957, 0.1417, 0.7991)
O (0.8677, 0.2778, 0.9973)
O (0.8296, 0.5700, 0.2488)
O (0.1331, 0.9281, 0.2343)
O (0.2373, 0.5261, 0.4568)
O (0.8193, 0.9287, 0.8799)
O (0.5943, 0.9275, 0.2603)
O (0.4962, 0.6994, 0.0149)
O (0.5438, 0.4163, 0.7595)
Ge (0.1415, 0.7421, 0.5022)
Ge (0.0365, 0.1868, 0.1908)
Ge (0.3762, 0.3123, 0.6501)
Ge (0.6828, 0.7920, 0.1197)
La (0.1478, 0.7485, 0.9976)
La (0.8745, 0.3033, 0.6414)
La (0.6333, 0.8329, 0.6313)
La (0.5703, 0.3160, 0.1460)


# 2
Compound: Tl2CrIn
Source: the Alexandria database
Functional: PBE-GGA
Structure: relaxed

Properties
density = 9.516 Mg/m³
space group = I4/mmm
formation energy = 0.419 eV/atom
spin magnetization = 1.07 μB/atom

a = 5.6558 Å, b = 5.6558 Å, c = 5.6558 Å
α = 131.13°, β = 131.13°, γ = 71.61°
Site moments in Bohr magnetons follow the coordinates.
Atoms (fractional coordinates):
Tl (0.0000, 0.0000, 0.0000)  -0.01
Tl (0.5000, 0.5000, 0.0000)  -0.01
In (0.7500, 0.2500, 0.5000)  -0.05
Cr (0.2500, 0.7500, 0.5000)  3.94


# 3
Compound: SrNiH3
Source: the Alexandria database
Functional: PBE-GGA
Structure: relaxed

Properties
density = 4.119 Mg/m³
space group = P4mm
E = -0.2437 Ry per atom
spin magnetization = 0.00 μB/atom

a = 3.5548 Å, b = 3.5548 Å, c = 4.7643 Å
α = 90.00°, β = 90.00°, γ = 90.00°
Atoms (fractional coordinates):
H (0.5000, 0.0000, 0.4735)
H (0.0000, 0.0000, 0.6594)
H (0.0000, 0.5000, 0.4735)
Sr (0.0000, 0.0000, 0.1444)
Ni (0.5000, 0.5000, 0.5129)


# 4
Compound: Ce3ErTh2N6
Source: the Alexandria database
Functional: PBE-GGA
Structure: relaxed

Properties
density = 9.655 Mg/m³
ΔE_f (raw) = -1.56 eV per atom
space group = C2/m
spin magnetization = 0.00 μB/atom

a = 6.2101 Å, b = 6.2101 Å, c = 6.2031 Å
α = 99.58°, β = 99.58°, γ = 120.02°
Atoms (fractional coordinates):
N (0.7563, 0.7563, 0.2480)
N (0.9181, 0.5917, 0.7539)
N (0.2437, 0.2437, 0.7520)
N (0.4083, 0.0819, 0.2461)
N (0.5917, 0.9181, 0.7539)
N (0.0819, 0.4083, 0.2461)
Er (0.0000, 0.0000, 0.0000)
Ce (0.5000, 0.5000, 0.5000)
Ce (0.8349, 0.1651, 0.5000)
Ce (0.1651, 0.8349, 0.5000)
Th (0.6668, 0.3332, 0.0000)
Th (0.3332, 0.6668, 0.0000)


Q: The highest spin magnetization belongs to which entry?
A: Tl2CrIn